DFT (GGA-PBE) results for P3SN after structural relaxation.

Lattice parameters (Å, degrees): 4.131 4.131 4.131 90.00 90.00 90.00
Element x y z (fractional)
P1 0.000 0.500 0.000
P2 0.000 0.000 0.500
P3 0.500 0.000 0.000
S1 0.500 0.500 0.500
N1 0.000 0.000 0.000

Values from the calculation:
Uncorrected energy (eV for the cell shown): -22.6
Energy relative to the elements, uncorrected (meV per atom): 1213
E above lowest polymorph (eV per atom): 0.000

DFT (GGA-PBE) results for SbPS2N after structural relaxation.

Lattice parameters (Å, degrees): 4.843 4.843 3.360 90.00 90.00 90.00
Element x y z (fractional)
Sb1 0.500 0.500 0.500
S1 0.000 0.500 0.000
S2 0.500 0.000 0.000
N1 0.000 0.000 0.500
P1 0.000 0.000 0.000

Values from the calculation:
Uncorrected energy (eV for the cell shown): -23.8
Energy relative to the elements, uncorrected (meV per atom): 455
E above lowest polymorph (eV per atom): 0.000

DFT (GGA-PBE) results for SbPSN2 after structural relaxation.

Lattice parameters (Å, degrees): 3.961 3.961 5.216 90.00 90.00 90.00
Last column: magnetic moment on the atom in μB.
Element x y z (fractional)
Sb1 0.000 0.000 0.000  -0.01
S1 0.000 0.000 0.500  0.00
N1 0.000 0.500 0.000  0.18
N2 0.500 0.000 0.000  0.18
P1 0.500 0.500 0.500  -0.04

Values from the calculation:
Uncorrected energy (eV for the cell shown): -22.5
Energy relative to the elements, uncorrected (meV per atom): 1563
E above lowest polymorph (eV per atom): 0.674

DFT (GGA-PBE) results for SbPS2N after structural relaxation.

Lattice parameters (Å, degrees): 5.066 5.066 3.851 90.00 90.00 90.00
Element x y z (fractional)
Sb1 0.000 0.000 0.000
S1 0.000 0.500 0.000
S2 0.500 0.000 0.000
N1 0.000 0.000 0.500
P1 0.500 0.500 0.500

Values from the calculation:
Uncorrected energy (eV for the cell shown): -19.9
Energy relative to the elements, uncorrected (meV per atom): 1251
E above lowest polymorph (eV per atom): 0.796